(1)
Density functional theory data (PBE-GGA) for a geometry-optimized AlPPb2 structure.

Computed properties:
- E above lowest polymorph (eV/atom) = 0.3343
- energy of formation (eV per atom) = 0.330

Cell and atoms, written as CIF:
```
data_AlPPb2
_space_group_name_H-M_alt 'P m m m'
_space_group_IT_number 47
_space_group_name_Hall '-P 2 2'
_cell_length_a 3.9819
_cell_length_b 4.8091
_cell_length_c 5.0959
_cell_angle_alpha 90.00
_cell_angle_beta 90.00
_cell_angle_gamma 90.00
loop_
_atom_site_label
_atom_site_fract_x
_atom_site_fract_y
_atom_site_fract_z
Al1 0.0000 0.0000 0.0000
P1 0.0000 0.5000 0.5000
Pb1 0.5000 0.0000 0.5000
Pb2 0.5000 0.5000 0.0000
```


(2)
Density functional theory data (PBE-GGA) for a geometry-optimized BaAl2Br2 structure.

Computed properties:
- uncorrected formation energy (kcal/mol of atoms) = -18.04
- E above lowest polymorph (eV/atom) = 0.0000

Cell and atoms, written as CIF:
```
data_BaAl2Br2
_space_group_name_H-M_alt 'I 4/m m m'
_space_group_IT_number 139
_space_group_name_Hall '-I 4 2'
_cell_length_a 3.9345
_cell_length_b 3.9345
_cell_length_c 25.2065
_cell_angle_alpha 90.00
_cell_angle_beta 90.00
_cell_angle_gamma 90.00
loop_
_atom_site_label
_atom_site_fract_x
_atom_site_fract_y
_atom_site_fract_z
Ba1 0.0000 0.0000 0.0000
Al1 0.0000 0.5000 0.2500
Br1 0.0000 0.0000 0.4274
```


(3)
Density functional theory data (PBE-GGA) for a geometry-optimized SbPb4Au structure.

Computed properties:
- uncorrected formation energy (kcal/mol of atoms) = 8.69
- E above lowest polymorph (eV/atom) = 0.3844

Cell and atoms, written as CIF:
```
data_SbPb4Au
_space_group_name_H-M_alt 'F -4 3 m'
_space_group_IT_number 216
_space_group_name_Hall 'F -4 2 3'
_cell_length_a 9.0615
_cell_length_b 9.0615
_cell_length_c 9.0615
_cell_angle_alpha 90.00
_cell_angle_beta 90.00
_cell_angle_gamma 90.00
loop_
_atom_site_label
_atom_site_fract_x
_atom_site_fract_y
_atom_site_fract_z
Sb1 0.0000 0.0000 0.0000
Pb1 0.1247 0.1247 0.3753
Au1 0.2500 0.2500 0.7500
```


(4)
Density functional theory data (PBE-GGA) for a geometry-optimized LiYTe2 structure.

Computed properties:
- uncorrected formation energy (kcal/mol of atoms) = -25.93

Cell and atoms, written as CIF:
```
data_LiYTe2
_space_group_name_H-M_alt 'P n m a'
_space_group_IT_number 62
_space_group_name_Hall '-P 2ac 2n'
_cell_length_a 8.1947
_cell_length_b 4.6879
_cell_length_c 14.5208
_cell_angle_alpha 90.00
_cell_angle_beta 90.00
_cell_angle_gamma 90.00
loop_
_atom_site_label
_atom_site_fract_x
_atom_site_fract_y
_atom_site_fract_z
Li1 0.0032 0.2500 0.1185
Y1 0.1106 0.2500 0.6115
Te1 0.0716 0.7500 0.2128
Te2 0.2209 0.7500 0.4950
```


(5)
Density functional theory data (PBE-GGA) for a geometry-optimized La8Ge2N3 structure.

Computed properties:
- uncorrected formation energy (kcal/mol of atoms) = -18.84

Cell and atoms, written as CIF:
```
data_La8Ge2N3
_space_group_name_H-M_alt 'C 1 2/m 1'
_space_group_IT_number 12
_space_group_name_Hall '-C 2y'
_cell_length_a 14.6344
_cell_length_b 7.4473
_cell_length_c 6.7812
_cell_angle_alpha 90.00
_cell_angle_beta 106.18
_cell_angle_gamma 90.00
loop_
_atom_site_label
_atom_site_fract_x
_atom_site_fract_y
_atom_site_fract_z
La1 0.0980 0.2385 0.3889
La2 0.1011 0.0000 0.8999
La3 0.1094 0.5000 0.9560
Ge1 0.2425 0.5000 0.6833
N1 0.0000 0.0000 0.5000
N2 0.0000 0.2433 0.0000
```


(6)
Density functional theory data (PBE-GGA) for a geometry-optimized K5Ge2Te5 structure.

Computed properties:
- uncorrected formation energy (kcal/mol of atoms) = -15.83

Cell and atoms, written as CIF:
```
data_K5Ge2Te5
_space_group_name_H-M_alt 'C 1 2/m 1'
_space_group_IT_number 12
_space_group_name_Hall '-C 2y'
_cell_length_a 15.2162
_cell_length_b 4.9688
_cell_length_c 12.9217
_cell_angle_alpha 90.00
_cell_angle_beta 106.19
_cell_angle_gamma 90.00
loop_
_atom_site_label
_atom_site_fract_x
_atom_site_fract_y
_atom_site_fract_z
K1 0.0000 0.0000 0.0000
K2 0.1611 0.0000 0.5705
K3 0.2345 0.5000 0.1341
Ge1 0.0471 0.5000 0.3018
Te1 0.0000 0.5000 0.5000
Te2 0.1026 0.5000 0.8674
Te3 0.1413 0.0000 0.2887
```


(7)
Density functional theory data (PBE-GGA) for a geometry-optimized Zr2SiAs structure.

Computed properties:
- uncorrected formation energy (kcal/mol of atoms) = -15.71
- E above lowest polymorph (eV/atom) = 0.2329

Cell and atoms, written as CIF:
```
data_Zr2SiAs
_space_group_name_H-M_alt 'I m m m'
_space_group_IT_number 71
_space_group_name_Hall '-I 2 2'
_cell_length_a 3.9393
_cell_length_b 5.1377
_cell_length_c 7.5379
_cell_angle_alpha 90.00
_cell_angle_beta 90.00
_cell_angle_gamma 90.00
loop_
_atom_site_label
_atom_site_fract_x
_atom_site_fract_y
_atom_site_fract_z
Zr1 0.0000 0.0000 0.2454
Si1 0.0000 0.5000 0.5000
As1 0.0000 0.5000 0.0000
```


(8)
Density functional theory data (PBE-GGA) for a geometry-optimized Pr12Ga3N5 structure.

Computed properties:
- uncorrected formation energy (kcal/mol of atoms) = -17.02

Cell and atoms, written as CIF:
```
data_Pr12Ga3N5
_space_group_name_H-M_alt 'I a -3 d'
_space_group_IT_number 230
_space_group_name_Hall '-I 4bd 2c 3'
_cell_length_a 16.1306
_cell_length_b 16.1306
_cell_length_c 16.1306
_cell_angle_alpha 90.00
_cell_angle_beta 90.00
_cell_angle_gamma 90.00
loop_
_atom_site_label
_atom_site_fract_x
_atom_site_fract_y
_atom_site_fract_z
Pr1 0.0340 0.0535 0.6489
Ga1 0.0000 0.2500 0.1250
N1 0.0000 0.0000 0.0000
N2 0.0000 0.2500 0.3750
```


(9)
Density functional theory data (PBE-GGA) for a geometry-optimized Tm5ScNi2 structure.

Computed properties:
- energy of formation (eV per atom) = -0.138

Cell and atoms, written as CIF:
```
data_Tm5ScNi2
_space_group_name_H-M_alt 'I m m m'
_space_group_IT_number 71
_space_group_name_Hall '-I 2 2'
_cell_length_a 3.7290
_cell_length_b 7.1668
_cell_length_c 15.0556
_cell_angle_alpha 90.00
_cell_angle_beta 90.00
_cell_angle_gamma 90.00
loop_
_atom_site_label
_atom_site_fract_x
_atom_site_fract_y
_atom_site_fract_z
Tm1 0.0000 0.0000 0.0000
Tm2 0.0000 0.2447 0.3475
Sc1 0.0000 0.5000 0.0000
Ni1 0.0000 0.0000 0.1983
```


(10)
Density functional theory data (PBE-GGA) for a geometry-optimized Ba2CoP structure.

Computed properties:
- energy of formation (eV per atom) = -0.020

Cell and atoms, written as CIF:
```
data_Ba2CoP
_space_group_name_H-M_alt 'P 4/m m m'
_space_group_IT_number 123
_space_group_name_Hall '-P 4 2'
_cell_length_a 5.4110
_cell_length_b 5.4110
_cell_length_c 4.1132
_cell_angle_alpha 90.00
_cell_angle_beta 90.00
_cell_angle_gamma 90.00
loop_
_atom_site_label
_atom_site_fract_x
_atom_site_fract_y
_atom_site_fract_z
Ba1 0.0000 0.5000 0.0000
Co1 0.0000 0.0000 0.5000
P1 0.5000 0.5000 0.5000
```


(11)
Density functional theory data (PBE-GGA) for a geometry-optimized GaNi7Rh3 structure.

Computed properties:
- energy of formation (eV per atom) = 0.046

Cell and atoms, written as CIF:
```
data_GaNi7Rh3
_space_group_name_H-M_alt 'C 1 m 1'
_space_group_IT_number 8
_space_group_name_Hall 'C -2y'
_cell_length_a 5.1701
_cell_length_b 8.2786
_cell_length_c 6.7161
_cell_angle_alpha 90.00
_cell_angle_beta 100.87
_cell_angle_gamma 90.00
loop_
_atom_site_label
_atom_site_fract_x
_atom_site_fract_y
_atom_site_fract_z
Ga1 0.0000 0.0000 0.0000
Ni1 0.1527 0.5000 0.6573
Ni2 0.1628 0.0000 0.6511
Ni3 0.2722 0.2536 0.1018
Ni4 0.3217 0.5000 0.3270
Ni5 0.4364 0.2542 0.7696
Rh1 0.0993 0.2518 0.4322
Rh2 0.4858 0.0000 0.9944
```


(12)
Density functional theory data (PBE-GGA) for a geometry-optimized LaDy5Cd3 structure.

Computed properties:
- energy of formation (eV per atom) = -0.166

Cell and atoms, written as CIF:
```
data_LaDy5Cd3
_space_group_name_H-M_alt 'P 63/m c m'
_space_group_IT_number 193
_space_group_name_Hall '-P 6c 2'
_cell_length_a 9.2443
_cell_length_b 9.2443
_cell_length_c 7.0023
_cell_angle_alpha 90.00
_cell_angle_beta 90.00
_cell_angle_gamma 120.00
loop_
_atom_site_label
_atom_site_fract_x
_atom_site_fract_y
_atom_site_fract_z
La1 0.0000 0.0000 0.0000
Dy1 0.0000 0.3341 0.2500
Dy2 0.3333 0.6667 0.0000
Cd1 0.0000 0.3393 0.7500
```


Question: Number 9 is which compound?
Answer: Tm5ScNi2


Question: Number 3 is which compound?
Answer: SbPb4Au


Question: Which formula does entry 2 have?
Answer: BaAl2Br2